No. 1
# AlCr3Au (GGA-PBE, relaxed)
# E above lowest polymorph = 0.096 eV/atom
# E_form = 1.35 eV/atom
# uncorrected energy = -29.1 eV/cell
# density of states at the Fermi level = 1.22 states/eV per atom
data_AlCr3Au
_chemical_formula_sum 'Al1 Cr3 Au1'
_cell_length_a 4.978
_cell_length_b 4.978
_cell_length_c 4.978
_cell_angle_alpha 90.00
_cell_angle_beta 90.00
_cell_angle_gamma 90.00
_symmetry_space_group_name_H-M 'P m -3 m'
_symmetry_Int_Tables_number 221
_symmetry_space_group_name_Hall '-P 4 2 3'
loop_
_atom_site_label
_atom_site_fract_x
_atom_site_fract_y
_atom_site_fract_z
Al1 0.000 0.000 0.000
Cr1 0.000 0.500 0.500
Au1 0.500 0.500 0.500

---

No. 2
# AlCr2Au (GGA-PBE, relaxed)
# E_form = 0.11 eV/atom
# uncorrected energy = -25.8 eV/cell
# density of states at the Fermi level = 0.79 states/eV per atom
data_AlCr2Au
_chemical_formula_sum 'Al1 Cr2 Au1'
_cell_length_a 2.760
_cell_length_b 4.062
_cell_length_c 5.091
_cell_angle_alpha 90.00
_cell_angle_beta 90.00
_cell_angle_gamma 90.00
_symmetry_space_group_name_H-M 'P m m m'
_symmetry_Int_Tables_number 47
_symmetry_space_group_name_Hall '-P 2 2'
loop_
_atom_site_label
_atom_site_fract_x
_atom_site_fract_y
_atom_site_fract_z
Al1 0.000 0.000 0.000
Cr1 0.500 0.500 0.205
Au1 0.000 0.000 0.500

---

No. 3
# AlCr2Au (GGA-PBE, relaxed)
# E_form = 0.16 eV/atom
# uncorrected energy = -76.8 eV/cell
# density of states at the Fermi level = 1.05 states/eV per atom
data_AlCr2Au
_chemical_formula_sum 'Al3 Cr6 Au3'
_cell_length_a 2.8449
_cell_length_b 2.8449
_cell_length_c 25.0200
_cell_angle_alpha 90.00
_cell_angle_beta 90.00
_cell_angle_gamma 120.00
_symmetry_space_group_name_H-M 'R 3 m'
_symmetry_Int_Tables_number 160
_symmetry_space_group_name_Hall 'R 3 -2"'
loop_
_atom_site_label
_atom_site_fract_x
_atom_site_fract_y
_atom_site_fract_z
Al1 0.0000 0.0000 0.0000
Cr1 0.0000 0.0000 0.2478
Cr2 0.0000 0.0000 0.5190
Au1 0.0000 0.0000 0.7581

---

No. 4
# Al2CrAu8 (GGA-PBE, relaxed)
# E_form = -0.15 eV/atom
# uncorrected energy = -45.0 eV/cell
# density of states at the Fermi level = 0.32 states/eV per atom
data_Al2CrAu8
_chemical_formula_sum 'Al2 Cr1 Au8'
_cell_length_a 4.135
_cell_length_b 6.641
_cell_length_c 7.600
_cell_angle_alpha 71.59
_cell_angle_beta 74.27
_cell_angle_gamma 89.86
_symmetry_space_group_name_H-M 'P -1'
_symmetry_Int_Tables_number 2
_symmetry_space_group_name_Hall '-P 1'
loop_
_atom_site_label
_atom_site_fract_x
_atom_site_fract_y
_atom_site_fract_z
Al1 0.217 0.160 0.066
Cr1 0.500 0.500 0.500
Au1 0.041 0.234 0.419
Au2 0.152 0.717 0.198
Au3 0.323 0.575 0.854
Au4 0.394 0.037 0.711

---

No. 5
# AlCr2Au (GGA-PBE, relaxed)
# E_form = 0.35 eV/atom
# uncorrected energy = -74.6 eV/cell
# density of states at the Fermi level = 1.35 states/eV per atom
data_AlCr2Au
_chemical_formula_sum 'Al3 Cr6 Au3'
_cell_length_a 2.7168
_cell_length_b 2.7168
_cell_length_c 26.6910
_cell_angle_alpha 90.00
_cell_angle_beta 90.00
_cell_angle_gamma 120.00
_symmetry_space_group_name_H-M 'R -3 m'
_symmetry_Int_Tables_number 166
_symmetry_space_group_name_Hall '-R 3 2"'
loop_
_atom_site_label
_atom_site_fract_x
_atom_site_fract_y
_atom_site_fract_z
Al1 0.0000 0.0000 0.0000
Cr1 0.0000 0.0000 0.2532
Au1 0.0000 0.0000 0.5000

---

No. 6
# AlCrAu2 (GGA-PBE, relaxed)
# E_form = 0.20 eV/atom
# uncorrected energy = -76.5 eV/cell
# density of states at the Fermi level = 0.45 states/eV per atom
data_AlCrAu2
_chemical_formula_sum 'Al4 Cr4 Au8'
_cell_length_a 3.973
_cell_length_b 3.973
_cell_length_c 18.535
_cell_angle_alpha 90.00
_cell_angle_beta 90.00
_cell_angle_gamma 90.00
_symmetry_space_group_name_H-M 'I -4 2 d'
_symmetry_Int_Tables_number 122
_symmetry_space_group_name_Hall 'I -4 2bw'
loop_
_atom_site_label
_atom_site_fract_x
_atom_site_fract_y
_atom_site_fract_z
Al1 0.000 0.000 0.000
Cr1 0.000 0.000 0.500
Au1 0.246 0.250 0.125

---

No. 7
# Al2CrAu (GGA-PBE, relaxed)
# E_form = -0.03 eV/atom
# uncorrected energy = -61.6 eV/cell
# density of states at the Fermi level = 0.66 states/eV per atom
data_Al2CrAu
_chemical_formula_sum 'Al6 Cr3 Au3'
_cell_length_a 2.8617
_cell_length_b 2.8617
_cell_length_c 25.9621
_cell_angle_alpha 90.00
_cell_angle_beta 90.00
_cell_angle_gamma 120.00
_symmetry_space_group_name_H-M 'R -3 m'
_symmetry_Int_Tables_number 166
_symmetry_space_group_name_Hall '-R 3 2"'
loop_
_atom_site_label
_atom_site_fract_x
_atom_site_fract_y
_atom_site_fract_z
Al1 0.0000 0.0000 0.2440
Cr1 0.0000 0.0000 0.5000
Au1 0.0000 0.0000 0.0000

---

No. 8
# AlCr2Au (GGA-PBE, relaxed)
# E_form = 0.16 eV/atom
# uncorrected energy = -25.6 eV/cell
# density of states at the Fermi level = 0.78 states/eV per atom
data_AlCr2Au
_chemical_formula_sum 'Al1 Cr2 Au1'
_cell_length_a 3.156
_cell_length_b 3.243
_cell_length_c 6.173
_cell_angle_alpha 90.00
_cell_angle_beta 90.00
_cell_angle_gamma 90.00
_symmetry_space_group_name_H-M 'P m m m'
_symmetry_Int_Tables_number 47
_symmetry_space_group_name_Hall '-P 2 2'
loop_
_atom_site_label
_atom_site_fract_x
_atom_site_fract_y
_atom_site_fract_z
Al1 0.000 0.000 0.000
Cr1 0.500 0.500 0.240
Au1 0.000 0.000 0.500

---

No. 9
# AlCr2Au (GGA-PBE, relaxed)
# E_form = 0.18 eV/atom
# uncorrected energy = -51.1 eV/cell
# density of states at the Fermi level = 0.75 states/eV per atom
data_AlCr2Au
_chemical_formula_sum 'Al2 Cr4 Au2'
_cell_length_a 5.064
_cell_length_b 8.253
_cell_length_c 2.685
_cell_angle_alpha 90.00
_cell_angle_beta 90.00
_cell_angle_gamma 90.00
_symmetry_space_group_name_H-M 'C m m m'
_symmetry_Int_Tables_number 65
_symmetry_space_group_name_Hall '-C 2 2'
loop_
_atom_site_label
_atom_site_fract_x
_atom_site_fract_y
_atom_site_fract_z
Al1 0.000 0.000 0.000
Cr1 0.250 0.250 0.500
Au1 0.000 0.500 0.000

---

No. 10
# AlCrAu2 (GGA-PBE, relaxed)
# E_form = -0.01 eV/atom
# uncorrected energy = -39.9 eV/cell
# density of states at the Fermi level = 0.64 states/eV per atom
data_AlCrAu2
_chemical_formula_sum 'Al2 Cr2 Au4'
_cell_length_a 8.778
_cell_length_b 3.058
_cell_length_c 5.151
_cell_angle_alpha 90.00
_cell_angle_beta 101.79
_cell_angle_gamma 90.00
_symmetry_space_group_name_H-M 'C 1 2/m 1'
_symmetry_Int_Tables_number 12
_symmetry_space_group_name_Hall '-C 2y'
loop_
_atom_site_label
_atom_site_fract_x
_atom_site_fract_y
_atom_site_fract_z
Al1 0.000 0.000 0.000
Cr1 0.000 0.500 0.500
Au1 0.247 0.500 0.247

---

No. 11
# AlCrAu3 (GGA-PBE, relaxed)
# E above lowest polymorph = 0.523 eV/atom
# E_form = 0.98 eV/atom
# uncorrected energy = -18.3 eV/cell
# density of states at the Fermi level = 1.15 states/eV per atom
data_AlCrAu3
_chemical_formula_sum 'Al1 Cr1 Au3'
_cell_length_a 4.866
_cell_length_b 4.866
_cell_length_c 4.866
_cell_angle_alpha 90.00
_cell_angle_beta 90.00
_cell_angle_gamma 90.00
_symmetry_space_group_name_H-M 'P m -3 m'
_symmetry_Int_Tables_number 221
_symmetry_space_group_name_Hall '-P 4 2 3'
loop_
_atom_site_label
_atom_site_fract_x
_atom_site_fract_y
_atom_site_fract_z
Al1 0.000 0.000 0.000
Cr1 0.500 0.500 0.500
Au1 0.000 0.500 0.500

---

No. 12
# AlCr2Au (GGA-PBE, relaxed)
# E_form = 0.10 eV/atom
# uncorrected energy = -25.8 eV/cell
# density of states at the Fermi level = 0.67 states/eV per atom
data_AlCr2Au
_chemical_formula_sum 'Al1 Cr2 Au1'
_cell_length_a 2.711
_cell_length_b 4.105
_cell_length_c 5.116
_cell_angle_alpha 90.00
_cell_angle_beta 95.35
_cell_angle_gamma 90.00
_symmetry_space_group_name_H-M 'P 1 m 1'
_symmetry_Int_Tables_number 6
_symmetry_space_group_name_Hall 'P -2y'
loop_
_atom_site_label
_atom_site_fract_x
_atom_site_fract_y
_atom_site_fract_z
Al1 0.000 0.000 0.000
Cr1 0.374 0.500 0.770
Cr2 0.538 0.000 0.560
Au1 0.961 0.500 0.280

---

No. 13
# AlCr2Au (GGA-PBE, relaxed)
# E_form = 0.04 eV/atom
# uncorrected energy = -104.4 eV/cell
# density of states at the Fermi level = 0.94 states/eV per atom
data_AlCr2Au
_chemical_formula_sum 'Al4 Cr8 Au4'
_cell_length_a 6.229
_cell_length_b 6.229
_cell_length_c 6.229
_cell_angle_alpha 90.00
_cell_angle_beta 90.00
_cell_angle_gamma 90.00
_symmetry_space_group_name_H-M 'F -4 3 m'
_symmetry_Int_Tables_number 216
_symmetry_space_group_name_Hall 'F -4 2 3'
loop_
_atom_site_label
_atom_site_fract_x
_atom_site_fract_y
_atom_site_fract_z
Al1 0.000 0.000 0.000
Cr1 0.000 0.000 0.500
Cr2 0.250 0.250 0.250
Au1 0.250 0.250 0.750

---

No. 14
# Al2CrAu (GGA-PBE, relaxed)
# E_form = -0.23 eV/atom
# uncorrected energy = -21.3 eV/cell
# density of states at the Fermi level = 0.42 states/eV per atom
data_Al2CrAu
_chemical_formula_sum 'Al2 Cr1 Au1'
_cell_length_a 4.013
_cell_length_b 4.013
_cell_length_c 3.728
_cell_angle_alpha 90.00
_cell_angle_beta 90.00
_cell_angle_gamma 90.00
_symmetry_space_group_name_H-M 'P 4/m m m'
_symmetry_Int_Tables_number 123
_symmetry_space_group_name_Hall '-P 4 2'
loop_
_atom_site_label
_atom_site_fract_x
_atom_site_fract_y
_atom_site_fract_z
Al1 0.000 0.500 0.000
Cr1 0.000 0.000 0.500
Au1 0.500 0.500 0.500

---

No. 15
# AlCrAu2 (GGA-PBE, relaxed)
# E_form = -0.08 eV/atom
# uncorrected energy = -20.2 eV/cell
# density of states at the Fermi level = 0.53 states/eV per atom
data_AlCrAu2
_chemical_formula_sum 'Al1 Cr1 Au2'
_cell_length_a 3.205
_cell_length_b 3.352
_cell_length_c 6.200
_cell_angle_alpha 90.00
_cell_angle_beta 90.11
_cell_angle_gamma 90.00
_symmetry_space_group_name_H-M 'P 1 2/m 1'
_symmetry_Int_Tables_number 10
_symmetry_space_group_name_Hall '-P 2y'
loop_
_atom_site_label
_atom_site_fract_x
_atom_site_fract_y
_atom_site_fract_z
Al1 0.000 0.000 0.000
Cr1 0.000 0.000 0.500
Au1 0.499 0.500 0.241

---

The calculation returns the following calculated volume values, one per record and in order: 123.3, 57.1, 58.5, 189.8, 56.9, 73.1, 61.4, 63.2, 56.1, 67.7, 115.2, 56.7, 60.4, 60.0, 66.6 Å³/f.u..
The calculation returns the following magnetic moment values, one per record and in order: 12.8, 0.0, 0.0, 4.1, 0.2, 14.6, 4.0, 7.0, 0.0, 7.2, 0.0, 0.0, 2.2, 2.3, 3.8 Bohr magnetons per cell.